Density functional theory data (PBE) for crystalline Na2AcSnSb2 at its relaxed geometry.

Structure (extended XYZ):
```
12
Lattice="5.146 0.000 0.000 0.000 8.068 0.000 0.000 0.000 9.271" Properties=species:S:1:pos:R:3 pbc="T T T"
Sb 2.573 6.131 6.077
Ac 0.000 4.033 4.885
Sn 2.573 1.505 6.263
Sb 0.000 1.963 7.653
Sn 2.573 5.539 3.009
Sb 0.000 5.997 1.619
Na 0.000 2.770 1.369
Na 2.573 4.138 8.614
Sb 2.573 2.097 3.194
Na 0.000 6.804 7.903
Ac 0.000 8.067 4.386
Na 2.573 0.103 0.658
```

* crystal system: orthorhombic
* energy relative to the elements, uncorrected: -464 meV/atom
* M_tot: 0.00 μB/f.u.
* symmetry: Pmc2_1 (26)